(1)
First-principles (GGA-PBE) data for a relaxed structure of Nd2InI2, as listed in Alexandria via LeMat-Bulk.

## Properties
The value obtained for the uncorrected formation energy is -0.635 eV/atom. The value obtained for the density is 6.05 g/cm3.

a = 14.0348 Å, b = 6.2000 Å, c = 9.4770 Å
α = 90.00°, β = 118.96°, γ = 90.00°
Space group C2/m (No. 12)
Inequivalent atoms, fractional coordinates:
Nd1 0.0029 0.0000 0.1884 (multiplicity 4)
Nd2 0.1606 0.5000 0.0738 (multiplicity 4)
In1 0.1207 0.0000 0.5891 (multiplicity 4)
I1 0.0401 0.5000 0.2926 (multiplicity 4)
I2 0.2222 0.0000 0.1546 (multiplicity 4)

=====

(2)
First-principles (GGA-PBE) data for a relaxed structure of RbNdIn2I6, as listed in Alexandria via LeMat-Bulk.

## Properties
The value obtained for the uncorrected formation energy is -1.050 eV/atom. The value obtained for the density is 4.00 g/cm3.

a = 8.7169 Å, b = 8.7169 Å, c = 23.1075 Å
α = 90.00°, β = 90.00°, γ = 120.00°
Space group R3 (No. 146, hexagonal axes)
Inequivalent atoms, fractional coordinates:
Rb1 0.0000 0.0000 0.0000 (multiplicity 3)
Nd1 0.0000 0.0000 0.4887 (multiplicity 3)
In1 0.0000 0.0000 0.2962 (multiplicity 3)
In2 0.0000 0.0000 0.8065 (multiplicity 3)
I1 0.0191 0.3756 0.2274 (multiplicity 9)
I2 0.0224 0.7302 0.4019 (multiplicity 9)